Compound: SrVO3
Source: Alexandria via LeMat-Bulk
Functional: GGA+U
Structure: optimized geometry

The space group is C2/m (No. 12) and the conventional cell measures 13.305, 3.972 and 7.426 Å, with angles of 90.00, 121.05 and 90.00 degrees. The inequivalent atoms are Sr at (0.109, 0.000, 0.387), V at (0.175, 0.500, 0.833), O at (0.027, 0.500, 0.763), O at (0.199, 0.000, 0.874) and O at (0.212, 0.500, 0.626).

The calculated volume is 16.8 Å³ per atom. The calculation puts the total energy at -7.2243 eV/atom.